# 1
This record from the Alexandria database describes a geometry-optimized LiLaMgTe2 structure. The functional is PBE.

Properties
SG	P4/mmm
Fermi-level density of states	2.10	states/eV/f.u.
formation energy without anion corrections	-147	kJ/mol of formula units

Unit cell a=5.2075 b=5.1257 c=5.2075 alpha=90.00 beta=90.00 gamma=90.00
Last column: nearest neighbours and their distance in Å.
Fractional coordinates of all 5 atoms:
Mg  0.5000  0.5000  0.5000  8 Te 3.65, 4 La 3.68
Te  0.0000  0.0000  0.5000  2 Li 2.60
Te  0.5000  0.0000  0.0000  2 Li 2.60
Li  0.0000  0.0000  0.0000  2 La 2.56, 4 Te 2.60
La  0.0000  0.5000  0.0000  2 Li 2.56

# 2
This record from the Alexandria database describes a geometry-optimized LiLaMg2Te structure. The functional is PBE.

Properties
SG	P4/mmm
Fermi-level density of states	4.39	states/eV/f.u.
formation energy without anion corrections	25	kJ/mol of formula units

Unit cell a=5.6565 b=4.9370 c=5.6565 alpha=90.00 beta=90.00 gamma=90.00
Last column: nearest neighbours and their distance in Å.
Fractional coordinates of all 5 atoms:
Mg  0.0000  0.0000  0.5000  2 Te 2.83
Mg  0.5000  0.0000  0.0000  2 Te 2.83
Te  0.0000  0.0000  0.0000  2 Li 2.47
Li  0.0000  0.5000  0.0000  2 Te 2.47
La  0.5000  0.5000  0.5000  8 Mg 3.75, 4 Li 4.00

# 3
This record from the Alexandria database describes a geometry-optimized LiLaThMg structure. The functional is PBE.

Properties
SG	F-43m
Fermi-level density of states	4.40	states/eV/f.u.
E_tot	-3.837	eV per atom

Unit cell a=5.4482 b=5.4482 c=5.4482 alpha=60.00 beta=60.00 gamma=60.00
Last column: nearest neighbours and their distance in Å.
Fractional coordinates of all 4 atoms:
Mg  0.0000  0.0000  0.0000  4 La 3.34, 4 Th 3.34
Li  0.5000  0.5000  0.5000  4 La 3.34, 4 Th 3.34
Th  0.7500  0.7500  0.7500  4 Li 3.34, 4 Mg 3.34
La  0.2500  0.2500  0.2500  4 Li 3.34, 4 Mg 3.34

# 4
This record from the Alexandria database describes a geometry-optimized Li2La2ThMg5 structure. The functional is PBE.

Properties
SG	P4/mbm
Fermi-level density of states	8.14	states/eV/f.u.
E_tot	-2.916	eV per atom

Unit cell a=4.4640 b=10.9011 c=10.9011 alpha=90.00 beta=90.00 gamma=90.00
Last column: nearest neighbours and their distance in Å.
Fractional coordinates of all 20 atoms:
Li  0.0000  0.1108  0.6108  6 Mg 2.81-2.97
Li  0.0000  0.8892  0.3892  6 Mg 2.81-2.97
Li  0.0000  0.6108  0.8892  6 Mg 2.81-2.97
Li  0.0000  0.3892  0.1108  6 Mg 2.81-2.97
La  0.0000  0.6844  0.1844  3 Li 3.16-3.32
La  0.0000  0.3156  0.8156  3 Li 3.16-3.32
La  0.0000  0.1844  0.3156  3 Li 3.16-3.32
La  0.0000  0.8156  0.6844  3 Li 3.16-3.32
Th  0.0000  0.0000  0.0000  8 Mg 3.32
Th  0.0000  0.5000  0.5000  8 Mg 3.32
Mg  0.5000  0.2182  0.0565  2 Li 2.97, 1 Mg 3.13, 2 Th 3.32
Mg  0.5000  0.7818  0.9435  2 Li 2.97, 1 Mg 3.13, 2 Th 3.32
Mg  0.5000  0.0565  0.7818  2 Li 2.97, 1 Mg 3.13, 2 Th 3.32
Mg  0.5000  0.7182  0.4435  2 Li 2.97, 1 Mg 3.13, 2 Th 3.32
Mg  0.5000  0.9435  0.2182  2 Li 2.97, 1 Mg 3.13, 2 Th 3.32
Mg  0.5000  0.2818  0.5565  2 Li 2.97, 1 Mg 3.13, 2 Th 3.32
Mg  0.5000  0.5565  0.7182  2 Li 2.97, 1 Mg 3.13, 2 Th 3.32
Mg  0.5000  0.4435  0.2818  2 Li 2.97, 1 Mg 3.13, 2 Th 3.32
Mg  0.5000  0.5000  0.0000  4 Li 2.81, 4 Mg 3.13
Mg  0.5000  0.0000  0.5000  4 Li 2.81, 4 Mg 3.13

no.,total magnetization (μB/cell)
1,0.2
2,0.0
3,0.0
4,0.0